#A
Material: Sm2Er2Tm3
Method: DFT, PBE
State: optimized geometry

The value obtained for the density of states at the Fermi level is 1.3179 states/eV per atom.

Cell lengths 8.354, 8.354, 8.354 Å; angles 109.47, 109.47, 109.47 degrees
Element x y z (fractional)
Er: 0.500 0.411 0.500
Er: 0.000 0.000 0.411
Er: 0.911 0.500 0.000
Er: 0.589 0.089 0.089
Sm: 0.311 0.500 0.000
Sm: 0.189 0.689 0.689
Sm: 0.000 0.000 0.811
Sm: 0.500 0.811 0.500
Tm: 0.250 0.942 0.192
Tm: 0.058 0.308 0.250
Tm: 0.808 0.250 0.558
Tm: 0.692 0.750 0.942
Tm: 0.442 0.192 0.750
Tm: 0.750 0.558 0.308


#B
Material: Sm2Er2Tm3
Method: DFT, PBE
State: optimized geometry

The value obtained for the density of states at the Fermi level is 1.6056 states/eV per atom.

Cell lengths 3.481, 8.615, 8.445 Å; angles 115.58, 101.89, 90.00 degrees
Element x y z (fractional)
Sm: 0.080 0.201 0.160
Sm: 0.920 0.799 0.840
Tm: 0.221 0.647 0.441
Tm: 0.779 0.353 0.559
Tm: 0.000 0.500 0.000
Er: 0.639 0.907 0.277
Er: 0.361 0.093 0.723


Most stable: #B (next structure +99 meV/atom)


#A
Material: Sm2Er5Tm
Method: DFT, PBE
State: optimized geometry

The value obtained for the density of states at the Fermi level is 1.2867 states/eV per atom.

Cell lengths 4.990, 7.067, 14.135 Å; angles 90.00, 90.00, 90.00 degrees
Element x y z (fractional)
Sm: 0.500 0.751 0.375
Sm: 0.500 0.251 0.125
Sm: 0.500 0.249 0.625
Sm: 0.500 0.749 0.875
Er: 0.000 0.501 0.250
Er: 0.500 0.251 0.375
Er: 0.500 0.249 0.875
Er: 0.000 0.000 0.000
Er: 0.500 0.749 0.625
Er: 0.500 0.751 0.125
Er: 0.000 0.500 0.500
Er: 0.000 0.999 0.750
Er: 0.000 0.499 0.750
Er: 0.000 0.001 0.250
Tm: 0.000 0.500 0.000
Tm: 0.000 0.000 0.500


#B
Material: Sm2Er5Tm
Method: DFT, PBE
State: optimized geometry

The value obtained for the density of states at the Fermi level is 1.7109 states/eV per atom.

Cell lengths 5.605, 8.603, 11.360 Å; angles 90.04, 90.00, 109.01 degrees
Element x y z (fractional)
Sm: 0.211 0.422 0.582
Sm: 0.789 0.578 0.418
Sm: 0.212 0.423 0.917
Sm: 0.788 0.577 0.083
Tm: 0.228 0.455 0.250
Tm: 0.772 0.545 0.750
Er: 0.045 0.089 0.387
Er: 0.413 0.827 0.421
Er: 0.413 0.827 0.080
Er: 0.046 0.092 0.111
Er: 0.954 0.908 0.889
Er: 0.587 0.173 0.920
Er: 0.395 0.790 0.750
Er: 0.955 0.911 0.613
Er: 0.587 0.173 0.579
Er: 0.605 0.210 0.250


Most stable: #A (next structure +117 meV/atom)